1.
Here is a relaxed structure of BaMgRe2 from the Alexandria database. Energies are from PBE-GGA.

Values from the calculation:
For the spin magnetization, the calculation gives 0.0 μB per formula unit. The energy of formation from the pure elements is 2.8 eV/f.u. As for the space-group type: C2/m, No. 12.

The structure in POSCAR format:
```
BaMgRe2
1.0
-3.336 -3.951 0.712
-1.033 -4.565 -2.311
2.988 -4.420 3.174
Re Mg Ba
2 1 1
direct
0.491 0.491 0.643
0.009 0.009 0.857
0.750 0.750 0.750
0.250 0.250 0.250
```

2.
Here is a relaxed structure of BaMg3Re from the Alexandria database. Energies are from PBE-GGA.

Values from the calculation:
For the spin magnetization, the calculation gives 0.0 μB per formula unit. The energy of formation from the pure elements is 2.4 eV/f.u. The value obtained for the energy relative to the lowest polymorph listed for this composition is 0.000 eV/atom. As for the space-group type: Pm-3m, No. 221.

The structure in POSCAR format:
```
BaMg3Re
1.0
5.242 0.000 0.000
0.000 5.242 0.000
0.000 0.000 5.242
Ba Mg Re
1 3 1
direct
0.500 0.500 0.500
0.000 0.500 0.000
0.500 0.000 0.000
0.000 0.000 0.500
0.000 0.000 0.000
```

3.
Here is a relaxed structure of BaMg2Re from the Alexandria database. Energies are from PBE-GGA.

Values from the calculation:
For the spin magnetization, the calculation gives 1.0 μB per formula unit. The energy of formation from the pure elements is 2.7 eV/f.u. The value obtained for the energy relative to the lowest polymorph listed for this composition is 0.075 eV/atom. As for the space-group type: P4mm, No. 99.

The structure in POSCAR format:
```
BaMg2Re
1.0
-0.218 3.121 -1.759
-1.913 1.389 2.701
6.844 2.488 3.568
Mg Ba Re
2 1 1
direct
0.500 0.500 0.293
0.000 0.000 0.078
0.500 0.500 0.704
0.000 0.000 0.425
```

4.
Here is a relaxed structure of BaMg2Re from the Alexandria database. Energies are from PBE-GGA.

Values from the calculation:
For the spin magnetization, the calculation gives 1.6 μB per formula unit. The energy of formation from the pure elements is 3.7 eV/f.u. The value obtained for the energy relative to the lowest polymorph listed for this composition is 0.346 eV/atom. As for the space-group type: P4/mmm, No. 123.

The structure in POSCAR format:
```
BaMg2Re
1.0
-1.135 -1.917 -4.274
3.306 -3.110 0.517
-2.963 -2.810 2.048
Ba Mg Re
1 2 1
direct
0.500 0.000 0.500
0.000 0.500 0.500
0.000 0.000 0.000
0.500 0.500 0.000
```

5.
Here is a relaxed structure of BaMg2Re from the Alexandria database. Energies are from PBE-GGA.

Values from the calculation:
For the spin magnetization, the calculation gives 0.0 μB per formula unit. The energy of formation from the pure elements is 3.7 eV/f.u. The value obtained for the energy relative to the lowest polymorph listed for this composition is 0.338 eV/atom. As for the space-group type: P4/mmm, No. 123.

The structure in POSCAR format:
```
BaMg2Re
1.0
-2.572 -4.687 1.004
4.442 -1.903 2.498
-1.005 1.117 2.637
Re Ba Mg
1 1 2
direct
0.500 0.000 0.500
0.000 0.500 0.500
0.500 0.500 0.000
0.000 0.000 0.000
```

6.
Here is a relaxed structure of BaMgRe2 from the Alexandria database. Energies are from PBE-GGA.

Values from the calculation:
For the spin magnetization, the calculation gives 0.0 μB per formula unit. The energy of formation from the pure elements is 6.6 eV/f.u. As for the space-group type: I-42d, No. 122.

The structure in POSCAR format:
```
BaMgRe2
1.0
-0.459 8.039 -1.992
-7.154 0.620 4.152
-2.477 4.950 3.279
Re Ba Mg
4 2 2
direct
0.875 0.837 0.750
0.587 0.125 0.250
0.375 0.413 0.750
0.163 0.625 0.250
0.750 0.250 0.500
0.000 0.000 0.000
0.500 0.500 0.000
0.250 0.750 0.500
```

7.
Here is a relaxed structure of BaMg2Re from the Alexandria database. Energies are from PBE-GGA.

Values from the calculation:
For the spin magnetization, the calculation gives 0.0 μB per formula unit. The energy of formation from the pure elements is 2.5 eV/f.u. The value obtained for the energy relative to the lowest polymorph listed for this composition is 0.041 eV/atom. As for the space-group type: Pm, No. 6.

The structure in POSCAR format:
```
BaMg2Re
1.0
-1.932 -0.348 -4.178
-1.848 -2.133 1.032
-5.208 4.928 1.999
Mg Ba Re
2 1 1
direct
0.500 0.117 0.306
0.000 0.120 0.077
0.500 0.684 0.719
0.000 0.578 0.398
```

8.
Here is a relaxed structure of BaMgRe2 from the Alexandria database. Energies are from PBE-GGA.

Values from the calculation:
For the spin magnetization, the calculation gives 0.0 μB per formula unit. The energy of formation from the pure elements is 5.2 eV/f.u. As for the space-group type: Pmmm, No. 47.

The structure in POSCAR format:
```
BaMgRe2
1.0
-0.736 2.599 -1.132
-2.796 0.983 4.074
4.349 2.290 2.432
Mg Re Ba
1 2 1
direct
0.000 0.500 0.500
0.000 0.000 0.000
0.500 0.500 0.000
0.500 0.000 0.500
```

9.
Here is a relaxed structure of BaMg2Re from the Alexandria database. Energies are from PBE-GGA.

Values from the calculation:
For the spin magnetization, the calculation gives 0.0 μB per formula unit. The energy of formation from the pure elements is 2.6 eV/f.u. The value obtained for the energy relative to the lowest polymorph listed for this composition is 0.051 eV/atom. As for the space-group type: Imm2, No. 44.

The structure in POSCAR format:
```
BaMg2Re
1.0
8.138 0.016 0.002
6.138 5.343 -0.002
-6.711 -3.817 2.572
Re Mg Ba
1 2 1
direct
0.506 0.506 0.000
0.014 0.014 0.000
0.657 0.157 0.500
0.324 0.824 0.500
```

10.
Here is a relaxed structure of BaMgRe4 from the Alexandria database. Energies are from PBE-GGA.

Values from the calculation:
For the spin magnetization, the calculation gives 0.0 μB per formula unit. The energy of formation from the pure elements is 4.3 eV/f.u. As for the space-group type: F-43m, No. 216.

The structure in POSCAR format:
```
BaMgRe4
1.0
-1.213 -4.289 -3.183
-5.140 -1.877 -0.223
-2.981 0.714 -4.538
Re Mg Ba
4 1 1
direct
0.375 0.876 0.375
0.876 0.375 0.375
0.375 0.375 0.375
0.375 0.375 0.876
0.000 0.000 0.000
0.750 0.750 0.750
```

11.
Here is a relaxed structure of BaMg3Re from the Alexandria database. Energies are from PBE-GGA.

Values from the calculation:
For the spin magnetization, the calculation gives 0.0 μB per formula unit. The energy of formation from the pure elements is 12.9 eV/f.u. The value obtained for the energy relative to the lowest polymorph listed for this composition is 2.105 eV/atom. As for the space-group type: Pm-3m, No. 221.

The structure in POSCAR format:
```
BaMg3Re
1.0
-2.104 -4.232 2.934
3.130 -3.568 -2.901
4.088 0.554 3.731
Mg Ba Re
3 1 1
direct
0.000 0.000 0.500
0.500 0.000 0.000
0.000 0.500 0.000
0.000 0.000 0.000
0.500 0.500 0.500
```

12.
Here is a relaxed structure of BaMg2Re from the Alexandria database. Energies are from PBE-GGA.

Values from the calculation:
For the spin magnetization, the calculation gives 0.0 μB per formula unit. The energy of formation from the pure elements is 2.8 eV/f.u. The value obtained for the energy relative to the lowest polymorph listed for this composition is 0.122 eV/atom. As for the space-group type: R-3m, No. 166.

The structure in POSCAR format:
```
BaMg2Re
1.0
11.175 -0.009 -0.005
10.750 3.051 -0.005
10.750 1.492 2.662
Re Mg Ba
1 2 1
direct
0.250 0.250 0.250
0.985 0.985 0.985
0.515 0.515 0.515
0.750 0.750 0.750
```

13.
Here is a relaxed structure of BaMg2Re from the Alexandria database. Energies are from PBE-GGA.

Values from the calculation:
For the spin magnetization, the calculation gives 0.0 μB per formula unit. The energy of formation from the pure elements is 3.8 eV/f.u. The value obtained for the energy relative to the lowest polymorph listed for this composition is 0.356 eV/atom. As for the space-group type: Pmmm, No. 47.

The structure in POSCAR format:
```
BaMg2Re
1.0
3.061 0.000 0.000
0.000 5.593 0.000
0.000 0.000 5.628
Mg Ba Re
2 1 1
direct
0.000 0.000 0.000
0.500 0.500 0.000
0.000 0.500 0.500
0.500 0.000 0.500
```

14.
Here is a relaxed structure of BaMgRe2 from the Alexandria database. Energies are from PBE-GGA.

Values from the calculation:
For the spin magnetization, the calculation gives 0.0 μB per formula unit. The energy of formation from the pure elements is 1.6 eV/f.u. As for the space-group type: P4mm, No. 99.

The structure in POSCAR format:
```
BaMgRe2
1.0
3.201 0.000 0.000
0.000 3.201 0.000
0.000 0.000 8.657
Ba Re Mg
1 2 1
direct
0.000 0.000 0.474
0.500 0.500 0.175
0.000 0.000 0.029
0.500 0.500 0.822
```

15.
Here is a relaxed structure of Ba3MgRe from the Alexandria database. Energies are from PBE-GGA.

Values from the calculation:
For the spin magnetization, the calculation gives 0.0 μB per formula unit. The energy of formation from the pure elements is 3.3 eV/f.u. The value obtained for the energy relative to the lowest polymorph listed for this composition is 0.000 eV/atom. As for the space-group type: Pm-3m, No. 221.

The structure in POSCAR format:
```
Ba3MgRe
1.0
-2.671 -0.289 5.400
4.439 -3.557 2.005
3.089 4.862 1.788
Ba Re Mg
3 1 1
direct
0.000 0.500 0.000
0.500 0.000 0.000
0.000 0.000 0.500
0.000 0.000 0.000
0.500 0.500 0.500
```